1.
DFT (PBE-GGA) results for PmPrEr after structural relaxation.

Final energy, eV/atom: -4.011
ΔE_f, eV/atom: 0.683

CIF file:
```
data_PmPrEr
_cell_length_a 5.499
_cell_length_b 5.499
_cell_length_c 5.499
_cell_angle_alpha 60.00
_cell_angle_beta 60.00
_cell_angle_gamma 60.00
_symmetry_space_group_name_H-M 'P 1'
_symmetry_Int_Tables_number 1
loop_
_symmetry_equiv_pos_as_xyz
'x,y,z'
loop_
_atom_site_label
_atom_site_type_symbol
_atom_site_fract_x
_atom_site_fract_y
_atom_site_fract_z
Pm1 Pm 0.000 0.000 0.000
Pr1 Pr 0.500 0.500 0.500
Er1 Er 0.250 0.250 0.250
```

2.
DFT (PBE-GGA) results for Pm2Pr2Er after structural relaxation.

Final energy, eV/atom: -4.397
ΔE_f, eV/atom: 0.324

CIF file:
```
data_Pm2Pr2Er
_cell_length_a 5.564
_cell_length_b 5.564
_cell_length_c 7.026
_cell_angle_alpha 90.00
_cell_angle_beta 90.00
_cell_angle_gamma 120.00
_symmetry_space_group_name_H-M 'P 1'
_symmetry_Int_Tables_number 1
loop_
_symmetry_equiv_pos_as_xyz
'x,y,z'
loop_
_atom_site_label
_atom_site_type_symbol
_atom_site_fract_x
_atom_site_fract_y
_atom_site_fract_z
Pm1 Pm 0.333 0.667 0.123
Pm2 Pm 0.667 0.333 0.877
Pr1 Pr 0.333 0.667 0.645
Pr2 Pr 0.667 0.333 0.355
Er1 Er 0.000 0.000 0.000
```

3.
DFT (PBE-GGA) results for PmErPu after structural relaxation.

Final energy, eV/atom: -7.023
ΔE_f, eV/atom: 0.789

CIF file:
```
data_PmErPu
_cell_length_a 5.294
_cell_length_b 5.294
_cell_length_c 5.294
_cell_angle_alpha 60.00
_cell_angle_beta 60.00
_cell_angle_gamma 60.00
_symmetry_space_group_name_H-M 'P 1'
_symmetry_Int_Tables_number 1
loop_
_symmetry_equiv_pos_as_xyz
'x,y,z'
loop_
_atom_site_label
_atom_site_type_symbol
_atom_site_fract_x
_atom_site_fract_y
_atom_site_fract_z
Pm1 Pm 0.000 0.000 0.000
Er1 Er 0.500 0.500 0.500
Pu1 Pu 0.750 0.750 0.750
```

Q: Among the records above, which one has the lowest ΔE_f?
A: Pm2Pr2Er

Q: ΔE_f of number 3 (PmErPu)?
A: 0.789 eV/atom

Q: Which of these has the highest final energy?
A: PmPrEr

Q: Which formula does entry 2 have?
A: Pm2Pr2Er